A plane-wave DFT calculation with PBE was carried out for Cs8HAu3Cl4 after structural relaxation.

D(E_F), states/eV per cell: 0.000
E, eV for the cell shown: -45.17

a b c (Å): 10.098 10.158 10.099
angles (deg): 119.79 119.99 90.00
Element x y z (fractional)
Cs1 0.245 0.754 0.008
Cs2 0.246 0.755 0.492
Cs3 0.245 0.236 0.490
Cs4 0.763 0.754 0.008
Cs5 0.237 0.246 0.992
Cs6 0.755 0.764 0.510
Cs7 0.754 0.245 0.508
Cs8 0.755 0.246 0.992
H1 0.000 0.500 0.000
Au1 0.500 0.500 0.000
Au2 0.500 0.500 0.500
Au3 0.000 0.500 0.500
Cl1 0.500 0.000 0.000
Cl2 0.500 0.000 0.500
Cl3 0.000 0.000 0.000
Cl4 0.000 0.000 0.500